A geometry-optimized SrTc2Au structure, computed with GGA-PBE.

Cell lengths 4.7920, 4.7920, 4.7920 Å; angles 60.00, 60.00, 60.00 degrees
Last column: nearest neighbours and their distance in Å.
Positions (direct):
1 Tc 0.7500 0.7500 0.7500  4 Sr 2.93, 4 Au 2.93
2 Tc 0.2500 0.2500 0.2500  4 Au 2.93, 4 Sr 2.93
3 Au 0.5000 0.5000 0.5000  8 Tc 2.93
4 Sr 0.0000 0.0000 0.0000  8 Tc 2.93

Energy = -5.37 eV/atom
Magnetic moment = 4.3 μB/f.u.
Distance to the lowest polymorph of the same formula = 873 meV/atom
Formation energy from the elements = 1.058 eV/atom
Crystal system = cubic
Space-group type = No. 225